(1)
{
  "formula": "KNaIn3",
  "functional": "GGA-PBE",
  "state": "optimized geometry",
  "cell": [[-1.3618, 6.0042, -0.1543], [0.0598, -0.1446, -6.1566], [-6.0059, -1.3628, -0.0263]],
  "species": ["Na", "K", "In", "In", "In"],
  "frac_coords": [[0.5000, 0.5000, 0.5000], [0.0000, 0.0000, 0.0000], [0.0000, 0.5000, 0.0000], [0.0000, 0.0000, 0.5000], [0.5000, 0.0000, 0.0000]],
  "final_energy_ev_per_cell": -7.41,
  "e_above_lowest_polymorph_mev_per_atom": 711,
  "e_form_ev_per_atom": 0.64
}



(2)
{
  "formula": "KNa2In",
  "functional": "GGA-PBE",
  "state": "optimized geometry",
  "cell": [[-3.5978, -2.5566, -0.3582], [4.9977, -3.8997, 5.0082], [-4.0536, 4.7073, 7.1170]],
  "species": ["K", "K", "Na", "Na", "Na", "Na", "In", "In"],
  "frac_coords": [[0.3713, 0.7426, 0.0487], [0.6287, 0.2574, 0.9513], [0.7596, 0.5192, 0.3583], [0.2404, 0.4808, 0.6417], [0.9468, 0.8937, 0.6823], [0.0532, 0.1063, 0.3177], [0.4111, 0.8221, 0.4268], [0.5889, 0.1779, 0.5732]],
  "final_energy_ev_per_cell": -13.16,
  "e_form_ev_per_atom": -0.03
}



(3)
{
  "formula": "K2Na4In",
  "functional": "GGA-PBE",
  "state": "optimized geometry",
  "cell": [[6.0030, 0.0000, 0.0000], [0.0000, 6.0030, 0.0000], [3.0015, 3.0015, 9.6561]],
  "species": ["Na", "Na", "Na", "Na", "K", "K", "In"],
  "frac_coords": [[0.8387, 0.8387, 0.3226], [0.1613, 0.1613, 0.6774], [0.0000, 0.5000, 0.0000], [0.5000, 0.0000, 0.0000], [0.6339, 0.6339, 0.7321], [0.3661, 0.3661, 0.2679], [0.0000, 0.0000, 0.0000]],
  "final_energy_ev_per_cell": -9.75,
  "e_form_ev_per_atom": 0.07
}